(1)
Entry from the Alexandria database: a relaxed ScRePd2 crystal (PBE).

Summary:
Relative energy among the computed polymorphs, meV per atom: 0.0
Energy of formation, eV/f.u.: -0.078
E_tot, eV per atom: -7.311

Unit cell a=4.547 b=4.547 c=4.547 alpha=60.00 beta=60.00 gamma=60.00
Fractional positions:
Sc 0.000 0.000 0.000
Re 0.500 0.500 0.500
Pd 0.250 0.250 0.250
Pd 0.750 0.750 0.750

(2)
Entry from the Alexandria database: a relaxed TlCl2F2 crystal (PBE).

Summary:
Formation energy (no corrections), eV per atom: -0.904
Relative energy among the computed polymorphs, meV per atom: 0.0
E_tot, eV per atom: -2.864

Unit cell a=6.435 b=6.435 c=5.580 alpha=90.00 beta=90.00 gamma=90.00
Fractional positions:
Tl 0.000 0.000 0.000
Tl 0.500 0.500 0.000
Cl 0.109 0.391 0.500
Cl 0.391 0.891 0.500
Cl 0.609 0.109 0.500
Cl 0.891 0.609 0.500
F 0.215 0.715 0.000
F 0.285 0.215 0.000
F 0.715 0.785 0.000
F 0.785 0.285 0.000

(3)
Entry from the Alexandria database: a relaxed CdCu2Ru crystal (PBE).

Summary:
Energy of formation, eV/f.u.: 1.160
E_tot, eV per atom: -4.306

Unit cell a=4.762 b=2.683 c=4.939 alpha=90.00 beta=111.30 gamma=90.00
Fractional positions:
Cd 0.000 0.000 0.000
Cu 0.500 0.000 0.500
Cu 0.500 0.500 0.000
Ru 0.000 0.500 0.500

(4)
Entry from the Alexandria database: a relaxed ZrScBe10 crystal (PBE).

Summary:
Energy of formation, eV/f.u.: -2.827
E_tot, eV per atom: -4.581

Unit cell a=3.495 b=4.537 c=7.875 alpha=90.00 beta=90.00 gamma=90.00
Fractional positions:
Zr 0.000 0.000 0.000
Sc 0.000 0.500 0.500
Be 0.000 0.000 0.333
Be 0.000 0.000 0.667
Be 0.000 0.500 0.169
Be 0.000 0.500 0.831
Be 0.500 0.000 0.500
Be 0.500 0.246 0.248
Be 0.500 0.246 0.752
Be 0.500 0.500 0.000
Be 0.500 0.754 0.248
Be 0.500 0.754 0.752